Computed, not measured: an optimized crystal structure of SrEuNbVO6 at the GGA+U level of DFT.

Values from the calculation:
* calculated volume: 519.0 Å³ per cell
* VASP energy: -8.594 eV/atom

Cell: 8.036 8.036 8.036 Å, 90.00 90.00 90.00°
Space group F-43m (No. 216)
Asymmetric unit:
Sr 0.000 0.000 0.000 (multiplicity 4)
Eu 0.000 0.000 0.500 (multiplicity 4)
Nb 0.250 0.250 0.750 (multiplicity 4)
V 0.250 0.250 0.250 (multiplicity 4)
O 0.000 0.250 0.250 (multiplicity 24)